Entry 1:
The following is a DFT calculation (GGA-PBE) of crystalline Ba4HgO2 at its relaxed geometry.

```
Ba4HgO2
1.0
1.707 -3.968 8.821
3.858 -6.863 1.640
8.476 2.424 4.915
O Ba Hg
4 8 2
Direct
0.344 0.312 0.613
0.707 0.812 0.887
0.357 0.729 0.318
0.426 0.228 0.182
0.695 0.626 0.145
0.455 0.972 0.784
0.683 0.135 0.908
0.988 0.472 0.716
0.341 0.635 0.592
0.184 0.132 0.278
0.590 0.125 0.355
0.212 0.631 0.222
0.770 0.596 0.478
0.998 0.096 0.023
```

Values from the calculation:
**Density of states at the Fermi level**: 7.43 states/eV per cell
**Total magnetization**: 0.00 Bohr magnetons per cell
**Uncorrected formation energy**: -144.7 kJ/mol of atoms

***

Entry 2:
The following is a DFT calculation (GGA-PBE) of crystalline PAuC2 at its relaxed geometry.

```
PAuC2
1.0
-0.990 -1.358 2.309
-2.188 -2.172 -2.215
7.312 -6.601 -0.750
C Au P
4 2 2
Direct
0.500 0.680 0.894
0.000 0.820 0.394
0.500 0.320 0.894
0.000 0.180 0.394
0.500 0.500 0.669
0.000 0.000 0.169
0.000 0.000 0.930
0.500 0.500 0.430
```

Values from the calculation:
**Density of states at the Fermi level**: 1.72 states/eV per cell
**Total magnetization**: 0.00 Bohr magnetons per cell
**Formation enthalpy at 0 K**: 0.687 eV per atom

***

Entry 3:
The following is a DFT calculation (GGA-PBE) of crystalline LiMnRe4 at its relaxed geometry.

```
LiMnRe4
1.0
0.000 3.655 3.655
3.655 0.000 3.655
3.655 3.655 0.000
Re Mn Li
4 1 1
Direct
0.875 0.375 0.375
0.375 0.875 0.375
0.375 0.375 0.375
0.375 0.375 0.875
0.000 0.000 0.000
0.750 0.750 0.750
```

Values from the calculation:
**Density of states at the Fermi level**: 4.79 states/eV per cell
**Total magnetization**: 3.11 Bohr magnetons per cell
**Formation enthalpy at 0 K**: 0.471 eV per atom